[1]
{
  "formula": "Hf2MgCuPt5",
  "functional": "PBE",
  "state": "relaxed",
  "volume_a3_per_fu": 164.9,
  "space_group": "I4/mcm",
  "formation_enthalpy_0k_ev_per_atom": -0.44,
  "lattice": [[7.893, 0.000, 0.000], [0.000, 7.893, 0.000], [-3.946, -3.946, 5.295]],
  "species": ["Hf", "Hf", "Hf", "Hf", "Mg", "Mg", "Cu", "Cu", "Pt", "Pt", "Pt", "Pt", "Pt", "Pt", "Pt", "Pt", "Pt", "Pt"],
  "fractional_positions": [[0.127, 0.373, 0.000], [0.627, 0.127, 0.000], [0.373, 0.873, 0.000], [0.873, 0.627, 0.000], [0.250, 0.250, 0.500], [0.750, 0.750, 0.500], [0.250, 0.750, 0.500], [0.750, 0.250, 0.500], [0.947, 0.447, 0.270], [0.677, 0.177, 0.730], [0.053, 0.553, 0.730], [0.177, 0.053, 0.730], [0.553, 0.677, 0.730], [0.823, 0.947, 0.270], [0.447, 0.323, 0.270], [0.323, 0.823, 0.270], [0.500, 0.500, 0.000], [0.000, 0.000, 0.000]]
}

***

[2]
{
  "formula": "ZnCoRu2",
  "functional": "PBE",
  "state": "relaxed",
  "volume_a3_per_fu": 52.7,
  "space_group": "P4/mmm",
  "formation_enthalpy_0k_ev_per_atom": 0.16,
  "lattice": [[-0.900, 1.342, 2.115], [-2.293, 0.462, -1.270], [-2.814, -6.287, 2.793]],
  "species": ["Co", "Ru", "Ru", "Zn"],
  "fractional_positions": [[0.500, 0.500, 0.750], [0.000, 0.000, 0.984], [0.000, 0.000, 0.516], [0.500, 0.500, 0.250]]
}

***

[3]
{
  "formula": "Sn3Pd5Au2",
  "functional": "PBE",
  "state": "relaxed",
  "volume_a3_per_fu": 184.7,
  "space_group": "Cmc2_1",
  "formation_enthalpy_0k_ev_per_atom": -0.37,
  "lattice": [[-2.900, 0.886, -3.155], [-2.268, -5.142, 0.641], [-7.989, 4.994, 11.781]],
  "species": ["Sn", "Sn", "Sn", "Sn", "Sn", "Sn", "Pd", "Pd", "Pd", "Pd", "Pd", "Pd", "Pd", "Pd", "Pd", "Pd", "Au", "Au", "Au", "Au"],
  "fractional_positions": [[0.772, 0.752, 0.545], [0.599, 0.462, 0.197], [0.055, 0.982, 0.111], [0.228, 0.252, 0.455], [0.945, 0.482, 0.889], [0.401, 0.962, 0.803], [0.392, 0.438, 0.784], [0.302, 0.512, 0.603], [0.698, 0.012, 0.397], [0.135, 0.257, 0.270], [0.307, 0.999, 0.613], [0.961, 0.954, 0.921], [0.693, 0.499, 0.387], [0.865, 0.757, 0.730], [0.039, 0.454, 0.079], [0.608, 0.938, 0.216], [0.513, 0.753, 0.025], [0.160, 0.757, 0.319], [0.840, 0.257, 0.681], [0.487, 0.253, 0.975]]
}